## one
Material: Tl2CoCl2
Method: DFT, PBE-GGA
State: optimized geometry

Unit cell a=6.4557 b=6.4557 c=6.0171 alpha=90.00 beta=90.00 gamma=90.00
Last column: nearest neighbours and their distance in Å.
Positions (direct):
Tl: 0.1922 0.6922 0.5000  2 Cl 3.19, 5 Tl 3.31-3.51
Tl: 0.6922 0.8078 0.5000  2 Cl 3.19, 5 Tl 3.31-3.51
Tl: 0.8078 0.3078 0.5000  2 Cl 3.19, 5 Tl 3.31-3.51
Tl: 0.3078 0.1922 0.5000  2 Cl 3.19, 5 Tl 3.31-3.51
Co: 0.0000 0.0000 0.0000  4 Cl 2.35
Co: 0.5000 0.5000 0.0000  4 Cl 2.35
Cl: 0.3091 0.8091 0.0000  2 Co 2.35
Cl: 0.8091 0.6909 0.0000  2 Co 2.35
Cl: 0.6909 0.1909 0.0000  2 Co 2.35
Cl: 0.1909 0.3091 0.0000  2 Co 2.35

Symmetry: No. 127
Crystal system: tetragonal

---

## two
Material: Tl2CoCl2
Method: DFT, PBE-GGA
State: optimized geometry

Unit cell a=6.4272 b=6.4272 c=5.8941 alpha=56.96 beta=56.96 gamma=90.00
Last column: nearest neighbours and their distance in Å.
Positions (direct):
Tl: 0.7500 0.2500 0.5000  4 Cl 3.22
Tl: 0.2500 0.7500 0.5000  4 Cl 3.22
Co: 0.0000 0.0000 0.0000  2 Cl 2.12
Cl: 0.2829 0.2829 0.4342  1 Co 2.12
Cl: 0.7171 0.7171 0.5658  1 Co 2.12

Symmetry: No. 139
Crystal system: tetragonal

---

Most stable: one (next structure +12 meV per atom)

---

## one
Material: V3CoCl
Method: DFT, PBE-GGA
State: optimized geometry

Unit cell a=4.2237 b=4.2237 c=4.2237 alpha=90.00 beta=90.00 gamma=90.00
Last column: nearest neighbours and their distance in Å.
Positions (direct):
V: 0.0000 0.5000 0.0000  2 Cl 2.11
V: 0.0000 0.0000 0.5000  2 Cl 2.11
V: 0.5000 0.0000 0.0000  2 Cl 2.11
Co: 0.5000 0.5000 0.5000  12 V 2.99
Cl: 0.0000 0.0000 0.0000  6 V 2.11

Symmetry: No. 221
Crystal system: cubic

---

## two
Material: V3CoCl
Method: DFT, PBE-GGA
State: optimized geometry

Unit cell a=4.3981 b=4.3981 c=4.3981 alpha=90.00 beta=90.00 gamma=90.00
Last column: nearest neighbours and their distance in Å.
Positions (direct):
V: 0.0000 0.5000 0.0000  2 Co 2.20
V: 0.0000 0.0000 0.5000  2 Co 2.20
V: 0.5000 0.0000 0.0000  2 Co 2.20
Co: 0.0000 0.0000 0.0000  6 V 2.20
Cl: 0.5000 0.5000 0.5000  12 V 3.11

Symmetry: No. 221
Crystal system: cubic

---

Most stable: one (next structure +210 meV per atom)

---

## one
Material: Co3WCl
Method: DFT, PBE-GGA
State: optimized geometry

Unit cell a=4.0651 b=4.0651 c=4.0651 alpha=90.00 beta=90.00 gamma=90.00
Last column: nearest neighbours and their distance in Å.
Positions (direct):
Co: 0.0000 0.5000 0.0000  2 Cl 2.03
Co: 0.0000 0.0000 0.5000  2 Cl 2.03
Co: 0.5000 0.0000 0.0000  2 Cl 2.03
W: 0.5000 0.5000 0.5000  12 Co 2.87
Cl: 0.0000 0.0000 0.0000  6 Co 2.03

Symmetry: No. 221
Crystal system: cubic

---

## two
Material: Co3WCl
Method: DFT, PBE-GGA
State: optimized geometry

Unit cell a=4.5594 b=4.5594 c=4.5594 alpha=90.00 beta=90.00 gamma=90.00
Last column: nearest neighbours and their distance in Å.
Positions (direct):
Co: 0.0000 0.5000 0.0000  2 W 2.28
Co: 0.0000 0.0000 0.5000  2 W 2.28
Co: 0.5000 0.0000 0.0000  2 W 2.28
W: 0.0000 0.0000 0.0000  6 Co 2.28
Cl: 0.5000 0.5000 0.5000  12 Co 3.22

Symmetry: No. 221
Crystal system: cubic

---

Most stable: one (next structure +475 meV per atom)

---

## one
Material: CoW3Cl
Method: DFT, PBE-GGA
State: optimized geometry

Unit cell a=4.3612 b=4.3612 c=4.3612 alpha=90.00 beta=90.00 gamma=90.00
Last column: nearest neighbours and their distance in Å.
Positions (direct):
Co: 0.5000 0.5000 0.5000  12 W 3.08
W: 0.0000 0.5000 0.0000  2 Cl 2.18
W: 0.0000 0.0000 0.5000  2 Cl 2.18
W: 0.5000 0.0000 0.0000  2 Cl 2.18
Cl: 0.0000 0.0000 0.0000  6 W 2.18

Symmetry: No. 221
Crystal system: cubic

---

## two
Material: CoW3Cl
Method: DFT, PBE-GGA
State: optimized geometry

Unit cell a=4.5347 b=4.5347 c=4.5347 alpha=90.00 beta=90.00 gamma=90.00
Last column: nearest neighbours and their distance in Å.
Positions (direct):
Co: 0.0000 0.0000 0.0000  6 W 2.27
W: 0.0000 0.5000 0.0000  2 Co 2.27
W: 0.0000 0.0000 0.5000  2 Co 2.27
W: 0.5000 0.0000 0.0000  2 Co 2.27
Cl: 0.5000 0.5000 0.5000  12 W 3.21

Symmetry: No. 221
Crystal system: cubic

---

Most stable: one (next structure +165 meV per atom)

---

## one
Material: YCoCl2
Method: DFT, PBE-GGA
State: optimized geometry

Unit cell a=10.5148 b=10.5148 c=10.5148 alpha=18.98 beta=18.98 gamma=18.98
Last column: nearest neighbours and their distance in Å.
Positions (direct):
Y: 0.7500 0.7500 0.7500  6 Cl 2.72
Co: 0.2500 0.2500 0.2500  6 Co 3.47, 6 Cl 3.88
Cl: 0.0240 0.0240 0.0240  3 Y 2.72
Cl: 0.4760 0.4760 0.4760  3 Y 2.72

Symmetry: No. 166
Crystal system: trigonal

---

## two
Material: YCoCl2
Method: DFT, PBE-GGA
State: optimized geometry

Unit cell a=3.6137 b=3.6137 c=7.8706 alpha=90.00 beta=90.00 gamma=123.79
Last column: nearest neighbours and their distance in Å.
Positions (direct):
Y: 0.5000 0.5000 0.7500  4 Cl 2.84
Co: 0.5000 0.5000 0.2500  4 Cl 2.38
Cl: 0.0000 0.0000 0.0391  2 Co 2.38
Cl: 0.0000 0.0000 0.4609  2 Co 2.38

Symmetry: No. 65
Crystal system: orthorhombic

---

Most stable: one (next structure +15 meV per atom)

---

## one
Material: YCoCl2
Method: DFT, PBE-GGA
State: optimized geometry

Unit cell a=8.7741 b=8.7741 c=8.7741 alpha=24.34 beta=24.34 gamma=24.34
Last column: nearest neighbours and their distance in Å.
Positions (direct):
Y: 0.7594 0.7594 0.7594  3 Cl 2.77, 3 Co 2.93
Co: 0.5047 0.5047 0.5047  3 Cl 2.38
Cl: 0.0235 0.0235 0.0235  3 Y 2.77
Cl: 0.2124 0.2124 0.2124  3 Co 2.38

Symmetry: No. 160
Crystal system: trigonal

---

## two
Material: YCoCl2
Method: DFT, PBE-GGA
State: optimized geometry

Unit cell a=4.8880 b=4.8880 c=4.8880 alpha=60.00 beta=60.00 gamma=60.00
Last column: nearest neighbours and their distance in Å.
Positions (direct):
Y: 0.7500 0.7500 0.7500  4 Cl 2.99, 4 Co 2.99
Co: 0.5000 0.5000 0.5000  4 Cl 2.99, 4 Y 2.99
Cl: 0.0000 0.0000 0.0000  4 Cl 2.99, 4 Y 2.99
Cl: 0.2500 0.2500 0.2500  4 Cl 2.99, 4 Co 2.99

Symmetry: No. 216
Crystal system: cubic

---

Most stable: one (next structure +526 meV per atom)

---

## one
Material: YCoCl2
Method: DFT, PBE-GGA
State: optimized geometry

Unit cell a=4.1330 b=4.4885 c=4.4869 alpha=88.71 beta=90.00 gamma=90.00
Last column: nearest neighbours and their distance in Å.
Positions (direct):
Y: 0.5000 0.7500 0.7500  4 Cl 2.71
Co: 0.5000 0.2500 0.2500  4 Cl 2.53
Cl: 0.0000 0.0236 0.0234  2 Co 2.53, 2 Y 2.71
Cl: 0.0000 0.4764 0.4766  2 Co 2.53, 2 Y 2.71

Symmetry: No. 65
Crystal system: orthorhombic

---

## two
Material: YCoCl2
Method: DFT, PBE-GGA
State: optimized geometry

Unit cell a=4.5197 b=4.5197 c=8.5210 alpha=74.62 beta=74.62 gamma=90.00
Last column: nearest neighbours and their distance in Å.
Positions (direct):
Y: 0.0000 0.0000 0.0000  4 Cl 2.62
Y: 0.7500 0.2500 0.5000  4 Cl 2.62
Co: 0.5000 0.5000 0.0000  4 Cl 2.47
Co: 0.2500 0.7500 0.5000  4 Cl 2.47
Cl: 0.5861 0.1250 0.2500  2 Co 2.47, 2 Y 2.62
Cl: 0.1639 0.6250 0.2500  2 Co 2.47, 2 Y 2.62
Cl: 0.3750 0.4139 0.7500  2 Co 2.47, 2 Y 2.62
Cl: 0.8750 0.8361 0.7500  2 Co 2.47, 2 Y 2.62

Symmetry: No. 122
Crystal system: tetragonal

---

Most stable: two (next structure +67 meV per atom)

---

## one
Material: YCoCl2
Method: DFT, PBE-GGA
State: optimized geometry

Unit cell a=5.6485 b=5.6485 c=5.6485 alpha=139.32 beta=139.32 gamma=58.89
Last column: nearest neighbours and their distance in Å.
Positions (direct):
Y: 0.7500 0.2500 0.5000  4 Cl 2.78
Co: 0.5000 0.5000 0.0000  4 Cl 2.78
Cl: 0.0000 0.0000 0.0000  4 Co 2.78
Cl: 0.2500 0.7500 0.5000  4 Y 2.78

Symmetry: No. 119
Crystal system: tetragonal

---

## two
Material: YCoCl2
Method: DFT, PBE-GGA
State: optimized geometry

Unit cell a=8.5259 b=8.5259 c=8.5259 alpha=23.36 beta=23.36 gamma=23.36
Last column: nearest neighbours and their distance in Å.
Positions (direct):
Y: 0.5000 0.5000 0.5000  6 Cl 2.78
Co: 0.0000 0.0000 0.0000  2 Cl 2.20
Cl: 0.9114 0.9114 0.9114  1 Co 2.20
Cl: 0.0886 0.0886 0.0886  1 Co 2.20

Symmetry: No. 166
Crystal system: trigonal

---

Most stable: two (next structure +128 meV per atom)

---

## one
Material: YCoCl2
Method: DFT, PBE-GGA
State: optimized geometry

Unit cell a=4.4821 b=5.3239 c=4.4125 alpha=65.59 beta=89.85 gamma=114.82
Last column: nearest neighbours and their distance in Å.
Positions (direct):
Y: 0.5000 0.5000 0.0000  4 Cl 2.66
Co: 0.0000 0.5000 0.5000  4 Cl 2.66
Cl: 0.0000 0.0000 0.0000  2 Co 2.66, 2 Y 2.66
Cl: 0.5000 0.0000 0.5000  2 Y 2.66, 2 Co 2.66

Symmetry: No. 12
Crystal system: monoclinic

---

## two
Material: YCoCl2
Method: DFT, PBE-GGA
State: optimized geometry

Unit cell a=6.7997 b=6.7997 c=6.7997 alpha=149.03 beta=141.73 gamma=50.02
Last column: nearest neighbours and their distance in Å.
Positions (direct):
Y: 0.2500 0.7500 0.5000  4 Cl 2.77, 4 Co 2.87
Co: 0.7500 0.2500 0.5000  4 Cl 2.45
Cl: 0.8833 0.8833 0.0000  2 Co 2.45
Cl: 0.6167 0.6167 0.0000  2 Co 2.45

Symmetry: No. 71
Crystal system: orthorhombic

---

## three
Material: YCoCl2
Method: DFT, PBE-GGA
State: optimized geometry

Unit cell a=4.6431 b=4.6431 c=4.6431 alpha=60.00 beta=60.00 gamma=60.00
Last column: nearest neighbours and their distance in Å.
Positions (direct):
Y: 0.5000 0.5000 0.5000  8 Cl 2.84
Co: 0.0000 0.0000 0.0000  8 Cl 2.84
Cl: 0.2500 0.2500 0.2500  4 Co 2.84, 4 Y 2.84
Cl: 0.7500 0.7500 0.7500  4 Co 2.84, 4 Y 2.84

Symmetry: No. 225
Crystal system: cubic

---

## four
Material: YCoCl2
Method: DFT, PBE-GGA
State: optimized geometry

Unit cell a=3.3677 b=3.3677 c=8.0720 alpha=90.00 beta=90.00 gamma=89.99
Last column: nearest neighbours and their distance in Å.
Positions (direct):
Y: 0.5000 0.5000 0.7147  5 Cl 2.78-2.95, 4 Co 3.03
Co: 0.0000 0.0000 0.4833  4 Cl 2.55
Cl: 0.0000 0.0000 0.9312  4 Y 2.95
Cl: 0.5000 0.5000 0.3708  4 Co 2.55, 1 Y 2.78

Symmetry: No. 99
Crystal system: tetragonal

---

Most stable: two (next structure +22 meV per atom)

---

## one
Material: YCoCl2
Method: DFT, PBE-GGA
State: optimized geometry

Unit cell a=5.4003 b=5.4003 c=7.1419 alpha=56.16 beta=56.16 gamma=37.55
Last column: nearest neighbours and their distance in Å.
Positions (direct):
Y: 0.7622 0.7622 0.8639  2 Co 2.77, 5 Cl 2.82-2.90
Co: 0.5163 0.5163 0.5784  4 Cl 2.62-2.68, 2 Y 2.77
Cl: 0.0627 0.0627 0.8198  2 Co 2.68, 3 Y 2.84-2.90
Cl: 0.1588 0.1588 0.2380  2 Co 2.62, 2 Y 2.82

Symmetry: No. 8
Crystal system: monoclinic

---

## two
Material: YCoCl2
Method: DFT, PBE-GGA
State: optimized geometry

Unit cell a=7.1256 b=7.1256 c=4.1415 alpha=89.61 beta=89.61 gamma=29.60
Last column: nearest neighbours and their distance in Å.
Positions (direct):
Y: 0.7500 0.7500 0.7500  4 Co 2.76, 4 Cl 2.79
Co: 0.2500 0.2500 0.2500  2 Cl 2.18
Cl: 0.1137 0.1137 0.9872  1 Co 2.18
Cl: 0.3863 0.3863 0.5128  1 Co 2.18

Symmetry: No. 12
Crystal system: monoclinic

---

Most stable: two (next structure +263 meV per atom)

---

## one
Material: YCoCl2
Method: DFT, PBE-GGA
State: optimized geometry

Unit cell a=7.1531 b=7.1531 c=7.1531 alpha=152.26 beta=148.59 gamma=42.40
Last column: nearest neighbours and their distance in Å.
Positions (direct):
Y: 0.3270 0.8270 0.5000  2 Co 2.59, 2 Cl 2.76
Co: 0.4729 0.4729 0.0000  4 Cl 2.59, 2 Y 2.59
Cl: 0.9744 0.9744 0.0000  4 Co 2.59, 2 Y 2.76
Cl: 0.7256 0.2256 0.5000  4 Y 2.92

Symmetry: No. 44
Crystal system: orthorhombic

---

## two
Material: YCoCl2
Method: DFT, PBE-GGA
State: optimized geometry

Unit cell a=3.5199 b=3.5218 c=6.2450 alpha=90.00 beta=90.00 gamma=90.00
Last column: nearest neighbours and their distance in Å.
Positions (direct):
Y: 0.5000 0.5000 0.7500  8 Cl 2.90, 2 Co 3.12
Co: 0.5000 0.5000 0.2500  8 Cl 2.98, 2 Y 3.12
Cl: 0.0000 0.0000 0.9880  4 Y 2.90, 1 Cl 2.97, 4 Co 2.98
Cl: 0.0000 0.0000 0.5120  4 Y 2.90, 1 Cl 2.97, 4 Co 2.98

Symmetry: No. 123
Crystal system: tetragonal

---

## three
Material: YCoCl2
Method: DFT, PBE-GGA
State: optimized geometry

Unit cell a=3.5711 b=5.2220 c=4.1293 alpha=90.00 beta=90.00 gamma=90.00
Last column: nearest neighbours and their distance in Å.
Positions (direct):
Y: 0.0000 0.5000 0.5000  4 Cl 2.73
Co: 0.5000 0.0000 0.5000  4 Cl 2.73
Cl: 0.0000 0.0000 0.0000  4 Co 2.73
Cl: 0.5000 0.5000 0.0000  4 Y 2.73

Symmetry: No. 47
Crystal system: orthorhombic

---

Most stable: one (next structure +214 meV per atom)

---

## one
Material: YCo3Cl
Method: DFT, PBE-GGA
State: optimized geometry

Unit cell a=4.2295 b=4.2295 c=4.2295 alpha=90.00 beta=90.00 gamma=90.00
Last column: nearest neighbours and their distance in Å.
Positions (direct):
Y: 0.5000 0.5000 0.5000  12 Co 2.99
Co: 0.0000 0.5000 0.0000  2 Cl 2.11
Co: 0.0000 0.0000 0.5000  2 Cl 2.11
Co: 0.5000 0.0000 0.0000  2 Cl 2.11
Cl: 0.0000 0.0000 0.0000  6 Co 2.11

Symmetry: No. 221
Crystal system: cubic

---

## two
Material: YCo3Cl
Method: DFT, PBE-GGA
State: optimized geometry

Unit cell a=4.8848 b=4.8848 c=4.8848 alpha=90.00 beta=90.00 gamma=90.00
Last column: nearest neighbours and their distance in Å.
Positions (direct):
Y: 0.0000 0.0000 0.0000  6 Co 2.44
Co: 0.0000 0.5000 0.0000  2 Y 2.44
Co: 0.0000 0.0000 0.5000  2 Y 2.44
Co: 0.5000 0.0000 0.0000  2 Y 2.44
Cl: 0.5000 0.5000 0.5000  12 Co 3.45

Symmetry: No. 221
Crystal system: cubic

---

Most stable: one (next structure +1346 meV per atom)